This record from the Alexandria database describes a geometry-optimized ScNb2NiF structure. The functional is PBE with a Hubbard U.

abc: 4.9957 4.9957 3.6656
angles: 90.00 90.00 90.00
Space group P4/mmm (No. 123)
Symmetry-distinct sites (fractional):
Sc 0.0000 0.0000 0.0000 x1
Nb 0.0000 0.5000 0.5000 x2
Ni 0.5000 0.5000 0.5000 x1
F 0.5000 0.5000 0.0000 x1

DOS(E_F) in states/eV/atom: 1.33
Total magnetization in μB/f.u.: 0.64
Raw total energy in eV per formula unit: -27.55
Crystal system: tetragonal